Crystalline Li2VO2F2 at its relaxed geometry, computed with PBE+U.

a = 6.2831 Å, b = 3.8739 Å, c = 6.6356 Å
α = 90.00°, β = 113.62°, γ = 90.00°
Fractional coordinates of all 14 atoms:
Li 0.0952 0.2500 0.3926
Li 0.2777 0.7500 0.2230
Li 0.7223 0.2500 0.7770
Li 0.9048 0.7500 0.6074
V 0.2946 0.2500 0.8777
V 0.7054 0.7500 0.1223
O 0.0073 0.2500 0.6861
O 0.3543 0.7500 0.9378
O 0.6457 0.2500 0.0622
O 0.9927 0.7500 0.3139
F 0.2187 0.2500 0.1451
F 0.3925 0.2500 0.6268
F 0.6075 0.7500 0.3732
F 0.7813 0.7500 0.8549

Properties
Space group = P2_1/m (11)
Final energy = -6.02 eV/atom
Spin magnetization = 0.1429 μB per atom